(1)
A plane-wave DFT calculation with PBE was carried out for a geometry-optimized RbTc2AgSn structure.

abc: 5.2121 5.6564 5.2121
angles: 90.00 90.00 90.00
Each line ends with the local moment (μB).
Element x y z (fractional)
Ag  0.0000  0.0000  0.0000  0.12
Tc  0.5000  0.0000  0.0000  2.80
Tc  0.0000  0.0000  0.5000  3.21
Rb  0.0000  0.5000  0.0000  -0.02
Sn  0.5000  0.5000  0.5000  -0.29

Computed properties:
DFT formation energy: 1816 meV/atom
Final energy: -0.286 Ry/atom
Size of the total moment: 6.26 μB per formula unit
Space group: No. 123

***

(2)
A plane-wave DFT calculation with PBE was carried out for a geometry-optimized RbAgSnTe structure.

abc: 4.4200 4.4200 14.5493
angles: 90.00 90.00 90.00
Element x y z (fractional)
Te  0.7500  0.7500  0.8737
Te  0.2500  0.2500  0.1263
Rb  0.2500  0.2500  0.7506
Rb  0.7500  0.7500  0.2494
Sn  0.2500  0.7500  0.5000
Sn  0.7500  0.2500  0.5000
Ag  0.7500  0.2500  0.0000
Ag  0.2500  0.7500  0.0000

Computed properties:
Final energy: -0.224 Ry/atom
Size of the total moment: 0.00 μB per formula unit
Uncorrected formation energy: -29 kJ/mol of atoms
Space group: No. 129

***

(3)
A plane-wave DFT calculation with PBE was carried out for a geometry-optimized Rb2AgSnTe4 structure.

abc: 6.3955 8.7341 12.2589
angles: 84.52 74.88 68.52
Element x y z (fractional)
Te  0.9355  0.7777  0.8641
Te  0.5497  0.2777  0.6359
Te  0.4633  0.7223  0.3641
Te  0.2867  0.7777  0.1359
Te  0.8145  0.7223  0.6359
Te  0.1726  0.2777  0.3641
Te  0.5774  0.2223  0.1359
Te  0.2003  0.2223  0.8641
Sn  0.0000  0.0000  0.0000
Sn  0.7500  0.5000  0.5000
Ag  0.5000  0.0000  0.0000
Ag  0.2500  0.5000  0.5000
Rb  0.5628  0.5000  0.8743
Rb  0.1872  0.0000  0.6257
Rb  0.8128  0.0000  0.3743
Rb  0.9372  0.5000  0.1257

Computed properties:
Final energy: -0.233 Ry/atom
Size of the total moment: 0.00 μB per formula unit
Uncorrected formation energy: -49 kJ/mol of atoms
Space group: No. 70